[1]
Below is a geometry-optimized MoSe2S2Cl structure, with properties calculated at the PBE-GGA level.

Properties
The calculation puts the total energy at -5.0614 eV/atom. As for the volume: 25.1 Å³/atom. For the total moment, the calculation gives 0.01 μB per cell.

abc: 6.3138 7.6414 7.7723
angles: 105.10 104.72 114.29
Fractional positions:
Cl 0.8943 0.6325 0.2497
Cl 0.1057 0.3675 0.7503
Mo 0.7758 0.0003 0.0008
Mo 0.2242 0.9997 0.9992
S 0.1815 0.3097 0.0856
S 0.5126 0.9030 0.1968
S 0.4874 0.0970 0.8032
S 0.8185 0.6903 0.9144
Se 0.7019 0.2466 0.2546
Se 0.1792 0.1628 0.3102
Se 0.8208 0.8372 0.6898
Se 0.2981 0.7534 0.7454

[2]
Below is a geometry-optimized MoSe2S2Cl structure, with properties calculated at the PBE-GGA level.

Properties
The calculation puts the total energy at -5.1049 eV/atom. As for the volume: 26.1 Å³/atom. For the total moment, the calculation gives 0.01 μB per cell.

abc: 6.2638 7.8487 7.9438
angles: 119.04 98.38 104.55
Fractional positions:
Cl 0.2594 0.5995 0.3749
Cl 0.7406 0.4005 0.6251
Mo 0.7743 0.0005 0.0000
Mo 0.2257 0.9995 0.0000
S 0.5989 0.2770 0.0674
S 0.5356 0.9820 0.2214
S 0.4644 0.0181 0.7786
S 0.4011 0.7230 0.9326
Se 0.9811 0.8474 0.1597
Se 0.1347 0.2408 0.3178
Se 0.8653 0.7592 0.6822
Se 0.0189 0.1526 0.8403

[3]
Below is a geometry-optimized MoSe3SCl structure, with properties calculated at the PBE-GGA level.

Properties
The calculation puts the total energy at -5.0084 eV/atom. As for the volume: 27.2 Å³/atom. For the total moment, the calculation gives 0.01 μB per cell.

abc: 6.3484 7.9359 8.0729
angles: 60.92 66.86 75.50
Fractional positions:
Cl 0.7400 0.2218 0.3789
Cl 0.2600 0.7782 0.6211
Mo 0.2203 0.0004 0.0000
Mo 0.7797 0.9996 0.0000
S 0.0140 0.7151 0.1515
S 0.9860 0.2849 0.8485
Se 0.3905 0.2149 0.0857
Se 0.4555 0.7544 0.2425
Se 0.8679 0.9195 0.3147
Se 0.1321 0.0805 0.6853
Se 0.5445 0.2456 0.7575
Se 0.6095 0.7851 0.9143

[4]
Below is a geometry-optimized MoSeCl4 structure, with properties calculated at the PBE-GGA level.

Properties
The calculation puts the total energy at -4.3017 eV/atom. As for the volume: 31.3 Å³/atom. For the total moment, the calculation gives 0.00 μB per cell.

abc: 6.7125 7.6492 7.7624
angles: 76.43 78.31 78.95
Fractional positions:
Cl 0.8077 0.6575 0.1141
Cl 0.8461 0.1509 0.1690
Cl 0.3268 0.4707 0.2021
Cl 0.9766 0.2830 0.4814
Cl 0.0234 0.7170 0.5186
Cl 0.6732 0.5293 0.7979
Cl 0.1539 0.8491 0.8310
Cl 0.1923 0.3425 0.8859
Mo 0.1383 0.2518 0.1972
Mo 0.8617 0.7482 0.8028
Se 0.3614 0.9963 0.2416
Se 0.6386 0.0037 0.7584

[5]
Below is a geometry-optimized MoSe2Cl12 structure, with properties calculated at the PBE-GGA level.

Properties
The calculation puts the total energy at -3.1561 eV/atom. As for the volume: 26.7 Å³/atom. For the total moment, the calculation gives 4.00 μB per cell.

abc: 8.6370 8.6370 12.2740
angles: 108.82 108.82 94.77
Site moments in Bohr magnetons follow the coordinates.
Fractional positions:
Cl 0.0851 0.2389 0.0934  0.00
Cl 0.0083 0.8545 0.0934  0.00
Cl 0.5241 0.3285 0.0965  0.01
Cl 0.5723 0.7680 0.0965  0.01
Cl 0.9035 0.5673 0.2431  0.01
Cl 0.3397 0.6759 0.2431  0.01
Cl 0.3966 0.0832 0.2495  0.03
Cl 0.8529 0.1663 0.2495  0.03
Cl 0.1580 0.0041 0.4031  0.00
Cl 0.2450 0.3989 0.4031  0.00
Cl 0.6779 0.4975 0.4380  0.02
Cl 0.7602 0.9405 0.4380  0.02
Cl 0.1045 0.7583 0.5934  -0.01
Cl 0.4889 0.8351 0.5934  -0.01
Cl 0.5785 0.2741 0.5965  0.01
Cl 0.0180 0.3223 0.5965  0.01
Cl 0.9259 0.0897 0.7431  0.01
Cl 0.8173 0.6535 0.7431  0.01
Cl 0.3332 0.1466 0.7495  0.03
Cl 0.4163 0.6029 0.7495  0.03
Cl 0.2541 0.9080 0.9031  0.00
Cl 0.6489 0.9950 0.9031  0.00
Cl 0.7475 0.4279 0.9380  0.02
Cl 0.1905 0.5102 0.9380  0.02
Mo 0.1260 0.1260 0.2519  1.54
Mo 0.3760 0.8760 0.7519  1.53
Se 0.7744 0.3275 0.0875  0.03
Se 0.3130 0.7600 0.0875  0.03
Se 0.0100 0.0630 0.5875  0.03
Se 0.5775 0.5244 0.5875  0.03

[6]
Below is a geometry-optimized TlMo2Se2Cl6 structure, with properties calculated at the PBE-GGA level.

Properties
The calculation puts the total energy at -4.4775 eV/atom. As for the volume: 25.7 Å³/atom. For the total moment, the calculation gives 1.45 μB per cell.

abc: 6.4681 6.4681 10.1457
angles: 108.10 108.10 45.02
Site moments in Bohr magnetons follow the coordinates.
Fractional positions:
Cl 0.1688 0.1688 0.0585  0.02
Cl 0.8681 0.8681 0.2746  0.03
Cl 0.1550 0.1550 0.3750  0.03
Cl 0.8450 0.8450 0.6250  0.03
Cl 0.1319 0.1319 0.7254  0.03
Cl 0.8312 0.8312 0.9415  0.02
Mo 0.0060 0.0060 0.1467  0.56
Mo 0.9940 0.9940 0.8533  0.56
Se 0.5057 0.5057 0.1279  -0.01
Se 0.4943 0.4943 0.8721  -0.01
Tl 0.5000 0.5000 0.5000  0.00